{"formula": "TmRhC", "functional": "PBE", "state": "optimized geometry", "lattice": [[-3.945, -1.828, -1.239], [1.911, -1.552, -3.792], [2.121, -2.127, 4.635]], "species": ["C", "C", "Rh", "Rh", "Tm", "Tm"], "fractional_positions": [[0.766, 0.766, 0.532], [0.016, 0.516, 0.032], [0.235, 0.735, 0.469], [0.985, 0.985, 0.969], [0.499, 0.499, 0.998], [0.749, 0.249, 0.498]], "n_ef_per_ev_atom": 0.41, "space_group": "I4_1md, No. 109", "m_tot_mub_per_atom": 0.000, "formation_enthalpy_0k_ev_per_atom": -0.1646, "crystal_system": "tetragonal", "e_tot_ha_per_atom": -0.264}